Record 1
The following is a PBE-GGA calculation of a geometry-optimized TcAs2W structure, from Alexandria via LeMat-Bulk.

Calculated values
The calculation puts the energy above the lowest structure with this stoichiometry at 56 meV per atom. The calculation puts the formation energy at 0.0868 eV/atom.

Cell lengths 3.2483, 3.2483, 5.9908 Å; angles 90.00, 90.00, 90.00 degrees
Positions (direct):
Tc 0.0000 0.0000 0.0000
As 0.0000 0.0000 0.5045
As 0.5000 0.5000 0.8164
W 0.5000 0.5000 0.3181


Record 2
The following is a PBE-GGA calculation of a geometry-optimized DyCd8Au6 structure, from Alexandria via LeMat-Bulk.

Calculated values
The calculation puts the formation energy at -0.2631 eV/atom.

Cell lengths 7.4703, 7.4703, 7.4703 Å; angles 66.75, 66.75, 66.75 degrees
Positions (direct):
Dy 0.0000 0.0000 0.0000
Cd 0.1184 0.4464 0.7911
Cd 0.2089 0.8816 0.5536
Cd 0.3330 0.3330 0.3330
Cd 0.4464 0.7911 0.1184
Cd 0.5536 0.2089 0.8816
Cd 0.6670 0.6670 0.6670
Cd 0.7911 0.1184 0.4464
Cd 0.8816 0.5536 0.2089
Au 0.0543 0.7131 0.3918
Au 0.2869 0.6082 0.9457
Au 0.3918 0.0543 0.7131
Au 0.6082 0.9457 0.2869
Au 0.7131 0.3918 0.0543
Au 0.9457 0.2869 0.6082


Record 3
The following is a PBE-GGA calculation of a geometry-optimized BiAsIrBr2 structure, from Alexandria via LeMat-Bulk.

Calculated values
The value obtained for the formation energy (no corrections) is 643 kJ/mol of formula units. The calculation puts the energy above the lowest structure with this stoichiometry at 957 meV per atom.

Cell lengths 5.5171, 5.5171, 5.8192 Å; angles 90.00, 90.00, 90.00 degrees
Positions (direct):
Bi 0.0000 0.0000 0.0000
As 0.0000 0.0000 0.5000
Ir 0.5000 0.5000 0.5000
Br 0.0000 0.5000 0.0000
Br 0.5000 0.0000 0.0000


Record 4
The following is a PBE-GGA calculation of a geometry-optimized CrTcPb2 structure, from Alexandria via LeMat-Bulk.

Calculated values
The calculation puts the energy above the lowest structure with this stoichiometry at 282 meV per atom. The calculation puts the formation energy at 0.6086 eV/atom.

Cell lengths 6.3897, 6.3897, 4.7481 Å; angles 111.73, 111.73, 29.62 degrees
Positions (direct):
Cr 0.0000 0.0000 0.0000
Tc 0.6409 0.6409 0.1415
Pb 0.2045 0.2045 0.7048
Pb 0.4253 0.4253 0.4257


Record 5
The following is a PBE-GGA calculation of a geometry-optimized Li2HoEr2Pd5 structure, from Alexandria via LeMat-Bulk.

Calculated values
The calculation puts the formation energy at -0.7569 eV/atom.

Cell lengths 9.8604, 9.8604, 3.6618 Å; angles 90.00, 90.00, 90.00 degrees
Positions (direct):
Li 0.1206 0.3794 0.0000
Li 0.3794 0.8794 0.0000
Li 0.6206 0.1206 0.0000
Li 0.8794 0.6206 0.0000
Ho 0.0000 0.0000 0.0000
Ho 0.5000 0.5000 0.0000
Er 0.1744 0.6744 0.0000
Er 0.3256 0.1744 0.0000
Er 0.6744 0.8256 0.0000
Er 0.8256 0.3256 0.0000
Pd 0.0000 0.5000 0.5000
Pd 0.0711 0.2137 0.5000
Pd 0.2137 0.9289 0.5000
Pd 0.2863 0.4289 0.5000
Pd 0.4289 0.7137 0.5000
Pd 0.5000 0.0000 0.5000
Pd 0.5711 0.2863 0.5000
Pd 0.7137 0.5711 0.5000
Pd 0.7863 0.0711 0.5000
Pd 0.9289 0.7863 0.5000


Record 6
The following is a PBE-GGA calculation of a geometry-optimized As4Se2S3 structure, from Alexandria via LeMat-Bulk.

Calculated values
The value obtained for the formation energy (no corrections) is -45 kJ/mol of formula units.

Cell lengths 7.7618, 7.7618, 9.0491 Å; angles 101.65, 101.65, 97.98 degrees
Positions (direct):
As 0.0314 0.1674 0.1448
As 0.1674 0.0314 0.6448
As 0.3421 0.4486 0.5227
As 0.4486 0.3421 0.0227
As 0.5514 0.6579 0.9773
As 0.6579 0.5514 0.4773
As 0.8326 0.9686 0.3552
As 0.9686 0.8326 0.8552
Se 0.1980 0.4463 0.1035
Se 0.4463 0.1980 0.6035
Se 0.5537 0.8020 0.3965
Se 0.8020 0.5537 0.8965
S 0.0412 0.8013 0.4269
S 0.1987 0.9588 0.0731
S 0.3483 0.6517 0.7500
S 0.6517 0.3483 0.2500
S 0.8013 0.0412 0.9269
S 0.9588 0.1987 0.5731


Record 7
The following is a PBE-GGA calculation of a geometry-optimized Sb2OsN structure, from Alexandria via LeMat-Bulk.

Calculated values
The value obtained for the formation energy (no corrections) is 290 kJ/mol of formula units.

Cell lengths 6.5387, 6.5387, 6.5387 Å; angles 128.64, 128.64, 75.59 degrees
Positions (direct):
Sb 0.0833 0.6250 0.9583
Sb 0.3750 0.3333 0.4583
Sb 0.6667 0.1250 0.0417
Sb 0.8750 0.9167 0.5417
Os 0.2500 0.7500 0.5000
Os 0.5000 0.5000 0.0000
N 0.0000 0.0000 0.0000
N 0.7500 0.2500 0.5000


Record 8
The following is a PBE-GGA calculation of a geometry-optimized TlAu3 structure, from Alexandria via LeMat-Bulk.

Calculated values
The calculation puts the formation energy at 0.0742 eV/atom.

Cell lengths 3.5776, 3.8678, 5.9000 Å; angles 90.00, 90.00, 90.00 degrees
Positions (direct):
Tl 0.0000 0.0000 0.0000
Au 0.0000 0.0000 0.5000
Au 0.5000 0.5000 0.2624
Au 0.5000 0.5000 0.7376


These records have total DFT energy (no corrections) values of -8.068 -2.369 -2.815 -6.243 -5.106 -4.268 -6.199 -2.975 eV per atom, in the order they appear.